Record 1
# SrCaAgPd (PBE, relaxed)
# E_form: -481 meV per atom
# Fermi-level density of states: 0.40 states/eV per atom
# DFT total energy: -27.31 eV per cell
# excess energy over the best structure of this formula in the dataset: 0.00 kJ/mol of atoms
# theoretical density: 5.16 g/cm3
data_SrCaAgPd
_chemical_formula_sum 'Sr2 Ca2 Ag2 Pd2'
_space_group_name_H-M_alt 'A m m 2'
_space_group_IT_number 38
_space_group_name_Hall 'A 2 -2'
_cell_length_a 4.6125
_cell_length_b 4.1950
_cell_length_c 11.3811
_cell_angle_alpha 90.00
_cell_angle_beta 90.00
_cell_angle_gamma 90.00
loop_
_atom_site_label
_atom_site_type_symbol
_atom_site_fract_x
_atom_site_fract_y
_atom_site_fract_z
Sr1 Sr 0.0000 0.0000 0.0000
Ca1 Ca 0.5000 0.0000 0.7190
Ag1 Ag 0.5000 0.0000 0.4252
Pd1 Pd 0.0000 0.0000 0.2785


Record 2
# CaTa2AgPd (PBE, relaxed)
# E_form: 994 meV per atom
# Fermi-level density of states: 1.28 states/eV per atom
# DFT total energy: -28.78 eV per cell
# excess energy over the best structure of this formula in the dataset: 0.00 kJ/mol of atoms
# theoretical density: 8.24 g/cm3
data_CaTa2AgPd
_chemical_formula_sum 'Ca1 Ta2 Ag1 Pd1'
_space_group_name_H-M_alt 'P 4/m m m'
_space_group_IT_number 123
_space_group_name_Hall '-P 4 2'
_cell_length_a 4.8833
_cell_length_b 4.8833
_cell_length_c 5.2103
_cell_angle_alpha 90.00
_cell_angle_beta 90.00
_cell_angle_gamma 90.00
loop_
_atom_site_label
_atom_site_type_symbol
_atom_site_fract_x
_atom_site_fract_y
_atom_site_fract_z
Ca1 Ca 0.0000 0.0000 0.0000
Ta1 Ta 0.0000 0.5000 0.5000
Ag1 Ag 0.5000 0.5000 0.0000
Pd1 Pd 0.5000 0.5000 0.5000


Record 3
# CaTa2AgPd (PBE, relaxed)
# E_form: 1051 meV per atom
# Fermi-level density of states: 1.08 states/eV per atom
# DFT total energy: -28.50 eV per cell
# excess energy over the best structure of this formula in the dataset: 5.46 kJ/mol of atoms
# theoretical density: 7.98 g/cm3
data_CaTa2AgPd
_chemical_formula_sum 'Ca1 Ta2 Ag1 Pd1'
_space_group_name_H-M_alt 'P 4/m m m'
_space_group_IT_number 123
_space_group_name_Hall '-P 4 2'
_cell_length_a 4.8740
_cell_length_b 4.8740
_cell_length_c 5.3981
_cell_angle_alpha 90.00
_cell_angle_beta 90.00
_cell_angle_gamma 90.00
loop_
_atom_site_label
_atom_site_type_symbol
_atom_site_fract_x
_atom_site_fract_y
_atom_site_fract_z
Ca1 Ca 0.0000 0.0000 0.0000
Ta1 Ta 0.0000 0.5000 0.5000
Ag1 Ag 0.5000 0.5000 0.0000
Pd1 Pd 0.0000 0.0000 0.5000


Record 4
# CaThAgPd (PBE, relaxed)
# E_form: -402 meV per atom
# Fermi-level density of states: 0.45 states/eV per atom
# DFT total energy: -76.29 eV per cell
# theoretical density: 8.33 g/cm3
data_CaThAgPd
_chemical_formula_sum 'Ca4 Th4 Ag4 Pd4'
_space_group_name_H-M_alt 'F -4 3 m'
_space_group_IT_number 216
_space_group_name_Hall 'F -4 2 3'
_cell_length_a 7.2931
_cell_length_b 7.2931
_cell_length_c 7.2931
_cell_angle_alpha 90.00
_cell_angle_beta 90.00
_cell_angle_gamma 90.00
loop_
_atom_site_label
_atom_site_type_symbol
_atom_site_fract_x
_atom_site_fract_y
_atom_site_fract_z
Ca1 Ca 0.0000 0.0000 0.0000
Th1 Th 0.0000 0.0000 0.5000
Ag1 Ag 0.2500 0.2500 0.7500
Pd1 Pd 0.2500 0.2500 0.2500


Record 5
# CaTlAgPd (PBE, relaxed)
# E_form: -337 meV per atom
# Fermi-level density of states: 0.62 states/eV per atom
# DFT total energy: -55.04 eV per cell
# theoretical density: 8.92 g/cm3
data_CaTlAgPd
_chemical_formula_sum 'Ca4 Tl4 Ag4 Pd4'
_space_group_name_H-M_alt 'F -4 3 m'
_space_group_IT_number 216
_space_group_name_Hall 'F -4 2 3'
_cell_length_a 6.9907
_cell_length_b 6.9907
_cell_length_c 6.9907
_cell_angle_alpha 90.00
_cell_angle_beta 90.00
_cell_angle_gamma 90.00
loop_
_atom_site_label
_atom_site_type_symbol
_atom_site_fract_x
_atom_site_fract_y
_atom_site_fract_z
Ca1 Ca 0.0000 0.0000 0.0000
Tl1 Tl 0.0000 0.0000 0.5000
Ag1 Ag 0.2500 0.2500 0.2500
Pd1 Pd 0.2500 0.2500 0.7500


Record 6
# CaYAgPd (PBE, relaxed)
# E_form: -534 meV per atom
# Fermi-level density of states: 0.40 states/eV per atom
# DFT total energy: -74.59 eV per cell
# theoretical density: 6.18 g/cm3
data_CaYAgPd
_chemical_formula_sum 'Ca4 Y4 Ag4 Pd4'
_space_group_name_H-M_alt 'F -4 3 m'
_space_group_IT_number 216
_space_group_name_Hall 'F -4 2 3'
_cell_length_a 7.1710
_cell_length_b 7.1710
_cell_length_c 7.1710
_cell_angle_alpha 90.00
_cell_angle_beta 90.00
_cell_angle_gamma 90.00
loop_
_atom_site_label
_atom_site_type_symbol
_atom_site_fract_x
_atom_site_fract_y
_atom_site_fract_z
Ca1 Ca 0.0000 0.0000 0.0000
Y1 Y 0.0000 0.0000 0.5000
Ag1 Ag 0.2500 0.2500 0.7500
Pd1 Pd 0.2500 0.2500 0.2500


Record 7
# Ca2ZnAg2Pd5 (PBE, relaxed)
# E_form: -402 meV per atom
# Fermi-level density of states: 0.20 states/eV per atom
# DFT total energy: -81.93 eV per cell
# theoretical density: 7.85 g/cm3
data_Ca2ZnAg2Pd5
_chemical_formula_sum 'Ca4 Zn2 Ag4 Pd10'
_space_group_name_H-M_alt 'P 4/m b m'
_space_group_IT_number 127
_space_group_name_Hall '-P 4 2ab'
_cell_length_a 9.8318
_cell_length_b 9.8318
_cell_length_c 3.9084
_cell_angle_alpha 90.00
_cell_angle_beta 90.00
_cell_angle_gamma 90.00
loop_
_atom_site_label
_atom_site_type_symbol
_atom_site_fract_x
_atom_site_fract_y
_atom_site_fract_z
Ca1 Ca 0.1700 0.3300 0.0000
Zn1 Zn 0.0000 0.0000 0.0000
Ag1 Ag 0.1311 0.6311 0.0000
Pd1 Pd 0.0000 0.5000 0.5000
Pd2 Pd 0.0546 0.8089 0.5000


Record 8
# CaZn2Ag2Pd (PBE, relaxed)
# E_form: -171 meV per atom
# Fermi-level density of states: 0.50 states/eV per atom
# DFT total energy: -16.47 eV per cell
# theoretical density: 6.26 g/cm3
data_CaZn2Ag2Pd
_chemical_formula_sum 'Ca1 Zn2 Ag2 Pd1'
_space_group_name_H-M_alt 'P 4/m m m'
_space_group_IT_number 123
_space_group_name_Hall '-P 4 2'
_cell_length_a 4.8308
_cell_length_b 4.8308
_cell_length_c 5.6068
_cell_angle_alpha 90.00
_cell_angle_beta 90.00
_cell_angle_gamma 90.00
loop_
_atom_site_label
_atom_site_type_symbol
_atom_site_fract_x
_atom_site_fract_y
_atom_site_fract_z
Ca1 Ca 0.0000 0.0000 0.0000
Zn1 Zn 0.0000 0.5000 0.5000
Ag1 Ag 0.5000 0.5000 0.2436
Pd1 Pd 0.0000 0.0000 0.5000


Record 9
# Ca2Zn5AgPd2 (PBE, relaxed)
# E_form: -354 meV per atom
# Fermi-level density of states: 0.39 states/eV per atom
# DFT total energy: -54.31 eV per cell
# theoretical density: 6.40 g/cm3
data_Ca2Zn5AgPd2
_chemical_formula_sum 'Ca4 Zn10 Ag2 Pd4'
_space_group_name_H-M_alt 'P 4/m b m'
_space_group_IT_number 127
_space_group_name_Hall '-P 4 2ab'
_cell_length_a 9.5951
_cell_length_b 9.5951
_cell_length_c 4.1030
_cell_angle_alpha 90.00
_cell_angle_beta 90.00
_cell_angle_gamma 90.00
loop_
_atom_site_label
_atom_site_type_symbol
_atom_site_fract_x
_atom_site_fract_y
_atom_site_fract_z
Ca1 Ca 0.1802 0.3198 0.0000
Zn1 Zn 0.0000 0.5000 0.5000
Zn2 Zn 0.0580 0.7964 0.5000
Ag1 Ag 0.0000 0.0000 0.0000
Pd1 Pd 0.1160 0.6160 0.0000


Record 10
# Ca2Zn2AgPd5 (PBE, relaxed)
# E_form: -542 meV per atom
# Fermi-level density of states: 0.29 states/eV per atom
# DFT total energy: -81.56 eV per cell
# theoretical density: 7.83 g/cm3
data_Ca2Zn2AgPd5
_chemical_formula_sum 'Ca4 Zn4 Ag2 Pd10'
_space_group_name_H-M_alt 'P 4/m b m'
_space_group_IT_number 127
_space_group_name_Hall '-P 4 2ab'
_cell_length_a 9.7412
_cell_length_b 9.7412
_cell_length_c 3.8012
_cell_angle_alpha 90.00
_cell_angle_beta 90.00
_cell_angle_gamma 90.00
loop_
_atom_site_label
_atom_site_type_symbol
_atom_site_fract_x
_atom_site_fract_y
_atom_site_fract_z
Ca1 Ca 0.1768 0.3232 0.0000
Zn1 Zn 0.1224 0.6224 0.0000
Ag1 Ag 0.0000 0.0000 0.0000
Pd1 Pd 0.0000 0.5000 0.5000
Pd2 Pd 0.0667 0.7935 0.5000


Record 11
# CaZn5AgPd2 (PBE, relaxed)
# E_form: -156 meV per atom
# Fermi-level density of states: 0.30 states/eV per atom
# DFT total energy: -23.01 eV per cell
# theoretical density: 6.43 g/cm3
data_CaZn5AgPd2
_chemical_formula_sum 'Ca1 Zn5 Ag1 Pd2'
_space_group_name_H-M_alt 'P 4/m m m'
_space_group_IT_number 123
_space_group_name_Hall '-P 4 2'
_cell_length_a 4.8756
_cell_length_b 4.8756
_cell_length_c 7.4722
_cell_angle_alpha 90.00
_cell_angle_beta 90.00
_cell_angle_gamma 90.00
loop_
_atom_site_label
_atom_site_type_symbol
_atom_site_fract_x
_atom_site_fract_y
_atom_site_fract_z
Ca1 Ca 0.0000 0.0000 0.0000
Zn1 Zn 0.0000 0.5000 0.3047
Zn2 Zn 0.5000 0.5000 0.0000
Ag1 Ag 0.0000 0.0000 0.5000
Pd1 Pd 0.5000 0.5000 0.3196


Record 12
# CaZrAgPd (PBE, relaxed)
# E_form: -277 meV per atom
# Fermi-level density of states: 0.67 states/eV per atom
# DFT total energy: -78.81 eV per cell
# theoretical density: 6.81 g/cm3
data_CaZrAgPd
_chemical_formula_sum 'Ca4 Zr4 Ag4 Pd4'
_space_group_name_H-M_alt 'F -4 3 m'
_space_group_IT_number 216
_space_group_name_Hall 'F -4 2 3'
_cell_length_a 6.9578
_cell_length_b 6.9578
_cell_length_c 6.9578
_cell_angle_alpha 90.00
_cell_angle_beta 90.00
_cell_angle_gamma 90.00
loop_
_atom_site_label
_atom_site_type_symbol
_atom_site_fract_x
_atom_site_fract_y
_atom_site_fract_z
Ca1 Ca 0.0000 0.0000 0.0000
Zr1 Zr 0.0000 0.0000 0.5000
Ag1 Ag 0.2500 0.2500 0.2500
Pd1 Pd 0.2500 0.2500 0.7500